{
  "formula": "CoPdRu",
  "functional": "PBE-GGA",
  "state": "optimized geometry",
  "lattice_angstrom": [[4.905, -1.349, 0.000], [4.905, 1.349, 0.000], [-1.724, 0.000, 6.125]],
  "species": ["Co", "Co", "Pd", "Pd", "Ru", "Ru"],
  "fractional_positions": [[0.196, 0.196, 0.124], [0.804, 0.804, 0.876], [0.140, 0.140, 0.540], [0.860, 0.860, 0.460], [0.478, 0.478, 0.180], [0.522, 0.522, 0.820]],
  "n_ef_per_ev_atom": 1.48,
  "polymorph_energy_ev_per_atom": 0.034,
  "formation_enthalpy_0k_mev_per_atom": 176,
  "e_tot_ev_per_atom": -7.02,
  "total_magnetization_mub_per_cell": 3.67
}

=====

{
  "formula": "B2C",
  "functional": "PBE-GGA",
  "state": "optimized geometry",
  "lattice_angstrom": [[3.400, 0.000, 0.000], [0.037, 4.309, 0.000], [0.960, 0.259, 5.511]],
  "species": ["B", "B", "B", "B", "B", "B", "B", "B", "C", "C", "C", "C"],
  "fractional_positions": [[0.000, 0.000, 0.000], [0.000, 0.218, 0.462], [0.112, 0.525, 0.666], [0.430, 0.970, 0.316], [0.565, 0.745, 0.572], [0.665, 0.080, 0.732], [0.700, 0.296, 0.206], [0.915, 0.580, 0.357], [0.215, 0.755, 0.159], [0.307, 0.290, 0.863], [0.495, 0.527, 0.017], [0.776, 0.735, 0.828]],
  "n_ef_per_ev_atom": 0.14,
  "polymorph_energy_ev_per_atom": 0.301,
  "formation_enthalpy_0k_mev_per_atom": 486,
  "e_tot_ev_per_atom": -7.04,
  "total_magnetization_mub_per_cell": 0.00
}

=====

{
  "formula": "CsNaPtO2",
  "functional": "PBE-GGA",
  "state": "optimized geometry",
  "lattice_angstrom": [[2.809, -6.486, 0.000], [2.809, 6.486, 0.000], [0.000, 0.000, 5.563]],
  "species": ["Cs", "Cs", "Na", "Na", "Pt", "Pt", "O", "O", "O", "O"],
  "fractional_positions": [[0.250, 0.750, 0.753], [0.750, 0.250, 0.247], [0.250, 0.250, 0.000], [0.750, 0.750, 0.000], [0.000, 0.000, 0.500], [0.500, 0.500, 0.500], [0.099, 0.901, 0.242], [0.401, 0.599, 0.242], [0.599, 0.401, 0.758], [0.901, 0.099, 0.758]],
  "n_ef_per_ev_atom": 0.88,
  "e_form_raw_mev_per_atom": -944,
  "e_tot_ev_per_atom": -4.57,
  "total_magnetization_mub_per_cell": 2.79
}

=====

{
  "formula": "SmY2ReN4",
  "functional": "PBE-GGA",
  "state": "optimized geometry",
  "lattice_angstrom": [[1.726, -5.856, 0.000], [1.726, 5.856, 0.000], [0.000, 0.000, 11.653]],
  "species": ["Sm", "Sm", "Y", "Y", "Y", "Y", "Re", "Re", "N", "N", "N", "N", "N", "N", "N", "N"],
  "fractional_positions": [[0.124, 0.876, 0.750], [0.876, 0.124, 0.250], [0.369, 0.631, 0.539], [0.369, 0.631, 0.961], [0.631, 0.369, 0.039], [0.631, 0.369, 0.461], [0.140, 0.860, 0.250], [0.860, 0.140, 0.750], [0.000, 0.000, 0.000], [0.000, 0.000, 0.500], [0.264, 0.736, 0.130], [0.264, 0.736, 0.370], [0.442, 0.558, 0.750], [0.558, 0.442, 0.250], [0.736, 0.264, 0.630], [0.736, 0.264, 0.870]],
  "n_ef_per_ev_atom": 0.20,
  "e_form_raw_mev_per_atom": -1019,
  "e_tot_ev_per_atom": -8.94,
  "total_magnetization_mub_per_cell": 0.00
}

=====

{
  "formula": "TlCoAg2",
  "functional": "PBE-GGA",
  "state": "optimized geometry",
  "lattice_angstrom": [[1.522, 0.879, 9.118], [-1.522, 0.879, 9.118], [0.000, -1.758, 9.118]],
  "species": ["Tl", "Co", "Ag", "Ag"],
  "fractional_positions": [[0.000, 0.000, 0.000], [0.255, 0.255, 0.255], [0.513, 0.513, 0.513], [0.762, 0.762, 0.762]],
  "n_ef_per_ev_atom": 0.93,
  "polymorph_energy_ev_per_atom": 0.112,
  "formation_enthalpy_0k_mev_per_atom": 470,
  "e_tot_ev_per_atom": -3.32,
  "total_magnetization_mub_per_cell": 1.24
}

=====

{
  "formula": "NaPmCdSn",
  "functional": "PBE-GGA",
  "state": "optimized geometry",
  "lattice_angstrom": [[4.329, 0.000, 0.000], [0.000, 4.775, 0.000], [0.000, 0.000, 5.201]],
  "species": ["Na", "Pm", "Cd", "Sn"],
  "fractional_positions": [[0.000, 0.000, 0.000], [0.000, 0.500, 0.500], [0.500, 0.500, 0.000], [0.500, 0.000, 0.500]],
  "n_ef_per_ev_atom": 0.38,
  "polymorph_energy_ev_per_atom": 0.000,
  "formation_enthalpy_0k_mev_per_atom": -376,
  "e_tot_ev_per_atom": -3.12,
  "total_magnetization_mub_per_cell": 0.00
}